# 1
# Sr3LiIr | Alexandria via LeMat-Bulk | PBE | relaxed
# E_form = -0.12 eV per atom
# E_tot = -3.286 eV per atom
# theoretical density = 4.17 g/cm³
data_Sr3LiIr
_cell_length_a 5.942
_cell_length_b 12.857
_cell_length_c 9.636
_cell_angle_alpha 90.00
_cell_angle_beta 90.00
_cell_angle_gamma 90.00
_space_group_name_H-M_alt 'C m c m'
_space_group_IT_number 63
_space_group_name_Hall '-C 2c 2'
loop_
_atom_site_label
_atom_site_type_symbol
_atom_site_fract_x
_atom_site_fract_y
_atom_site_fract_z
Sr1 Sr 0.000 0.053 0.250
Sr2 Sr 0.000 0.367 0.051
Li1 Li 0.000 0.249 0.750
Ir1 Ir 0.000 0.447 0.750


# 2
# Sr12Li6Ir | Alexandria via LeMat-Bulk | PBE | relaxed
# E_form = 0.09 eV per atom
# E_tot = -2.045 eV per atom
# theoretical density = 2.50 g/cm³
data_Sr12Li6Ir
_cell_length_a 14.3575
_cell_length_b 14.3575
_cell_length_c 14.3297
_cell_angle_alpha 90.00
_cell_angle_beta 90.00
_cell_angle_gamma 120.00
_space_group_name_H-M_alt 'R -3'
_space_group_IT_number 148
_space_group_name_Hall '-R 3'
loop_
_atom_site_label
_atom_site_type_symbol
_atom_site_fract_x
_atom_site_fract_y
_atom_site_fract_z
Sr1 Sr 0.0482 0.4547 0.2388
Sr2 Sr 0.0632 0.8800 0.8762
Li1 Li 0.0683 0.2270 0.3249
Ir1 Ir 0.0000 0.0000 0.0000


# 3
# SrLi2Ir | Alexandria via LeMat-Bulk | PBE | relaxed
# E_form = 0.19 eV per atom
# E_tot = -3.407 eV per atom
# theoretical density = 5.41 g/cm³
data_SrLi2Ir
_cell_length_a 4.432
_cell_length_b 4.432
_cell_length_c 18.374
_cell_angle_alpha 90.00
_cell_angle_beta 90.00
_cell_angle_gamma 90.00
_space_group_name_H-M_alt 'I -4 2 d'
_space_group_IT_number 122
_space_group_name_Hall 'I -4 2bw'
loop_
_atom_site_label
_atom_site_type_symbol
_atom_site_fract_x
_atom_site_fract_y
_atom_site_fract_z
Sr1 Sr 0.000 0.000 0.000
Li1 Li 0.109 0.250 0.625
Ir1 Ir 0.000 0.000 0.500


# 4
# SrLi2Ir | Alexandria via LeMat-Bulk | PBE | relaxed
# E_form = 0.10 eV per atom
# E_tot = -3.491 eV per atom
# theoretical density = 5.94 g/cm³
data_SrLi2Ir
_cell_length_a 3.278
_cell_length_b 4.677
_cell_length_c 5.391
_cell_angle_alpha 90.00
_cell_angle_beta 96.83
_cell_angle_gamma 90.00
_space_group_name_H-M_alt 'P 1 2/m 1'
_space_group_IT_number 10
loop_
_space_group_symop_operation_xyz
'x,y,z'
'-x,-y,-z'
'-x,y,-z'
'x,-y,z'
loop_
_atom_site_label
_atom_site_type_symbol
_atom_site_fract_x
_atom_site_fract_y
_atom_site_fract_z
Sr1 Sr 0.000 0.000 0.000
Li1 Li 0.279 0.500 0.669
Ir1 Ir 0.500 0.000 0.500


# 5
# SrLi2Ir | Alexandria via LeMat-Bulk | PBE | relaxed
# E_form = 0.55 eV per atom
# E_tot = -3.047 eV per atom
# theoretical density = 5.74 g/cm³
data_SrLi2Ir
_cell_length_a 3.1044
_cell_length_b 3.1044
_cell_length_c 30.5382
_cell_angle_alpha 90.00
_cell_angle_beta 90.00
_cell_angle_gamma 120.00
_space_group_name_H-M_alt 'R -3 m'
_space_group_IT_number 166
_space_group_name_Hall '-R 3 2"'
loop_
_atom_site_label
_atom_site_type_symbol
_atom_site_fract_x
_atom_site_fract_y
_atom_site_fract_z
Sr1 Sr 0.0000 0.0000 0.0000
Li1 Li 0.0000 0.0000 0.2288
Ir1 Ir 0.0000 0.0000 0.5000


# 6
# SrLiIr | Alexandria via LeMat-Bulk | PBE | relaxed
# E_form = 0.05 eV per atom
# E_tot = -4.106 eV per atom
# theoretical density = 7.27 g/cm³
data_SrLiIr
_cell_length_a 4.4420
_cell_length_b 4.4420
_cell_length_c 3.8334
_cell_angle_alpha 90.00
_cell_angle_beta 90.00
_cell_angle_gamma 120.00
_space_group_name_H-M_alt 'P -6 m 2'
_space_group_IT_number 187
_space_group_name_Hall 'P -6 2'
loop_
_atom_site_label
_atom_site_type_symbol
_atom_site_fract_x
_atom_site_fract_y
_atom_site_fract_z
Sr1 Sr 0.0000 0.0000 0.0000
Li1 Li 0.3333 0.6667 0.5000
Ir1 Ir 0.6667 0.3333 0.5000


Q: Which formula does entry 2 have?
A: Sr12Li6Ir